[1]
Compound: Ho3ErH
Source: Alexandria
Functional: PBE-GGA
Structure: optimized geometry

As for the total energy: -4.489 eV per atom.

Unit cell a=4.949 b=4.949 c=4.949 alpha=90.00 beta=90.00 gamma=90.00
Element x y z (fractional)
Er  0.500  0.500  0.500
H  0.000  0.000  0.000
Ho  0.500  0.000  0.000
Ho  0.000  0.000  0.500
Ho  0.000  0.500  0.000

***

[2]
Compound: Ho2ErH
Source: Alexandria
Functional: PBE-GGA
Structure: optimized geometry

As for the energy above the most stable polymorph in this dataset: 302 meV per atom. As for the total energy: -4.155 eV per atom.

Unit cell a=3.326 b=3.326 c=8.373 alpha=90.00 beta=90.00 gamma=90.00
Element x y z (fractional)
H  0.500  0.500  0.000
Ho  0.000  0.000  0.193
Ho  0.000  0.000  0.807
Er  0.500  0.500  0.500

***

[3]
Compound: HoErH2
Source: Alexandria
Functional: PBE-GGA
Structure: optimized geometry

As for the energy above the most stable polymorph in this dataset: 0 meV per atom. As for the total energy: -4.480 eV per atom.

Unit cell a=3.613 b=3.613 c=6.175 alpha=72.99 beta=72.99 gamma=60.00
Element x y z (fractional)
H  0.126  0.126  0.623
H  0.874  0.874  0.377
Ho  0.500  0.500  0.500
Er  0.000  0.000  0.000

***

[4]
Compound: HoEr3H8
Source: Alexandria
Functional: PBE-GGA
Structure: optimized geometry

As for the total energy: -4.479 eV per atom.

Unit cell a=5.112 b=5.112 c=5.112 alpha=90.00 beta=90.00 gamma=90.00
Element x y z (fractional)
H  0.251  0.749  0.251
H  0.749  0.251  0.251
H  0.749  0.749  0.749
H  0.251  0.749  0.749
H  0.749  0.749  0.251
H  0.251  0.251  0.251
H  0.749  0.251  0.749
H  0.251  0.251  0.749
Er  0.500  0.000  0.500
Er  0.500  0.500  0.000
Er  0.000  0.500  0.500
Ho  0.000  0.000  0.000

***

[5]
Compound: Ho2Er4H
Source: Alexandria
Functional: PBE-GGA
Structure: optimized geometry

As for the total energy: -4.324 eV per atom.

Unit cell a=4.786 b=4.786 c=9.104 alpha=74.76 beta=74.76 gamma=90.00
Element x y z (fractional)
Er  0.000  0.500  0.000
Er  0.148  0.148  0.703
Er  0.500  0.000  0.000
Er  0.852  0.852  0.297
Ho  0.352  0.352  0.296
Ho  0.648  0.648  0.704
H  0.000  0.000  0.000

***

[6]
Compound: HoEr2H8
Source: Alexandria
Functional: PBE-GGA
Structure: optimized geometry

As for the total energy: -4.310 eV per atom.

Unit cell a=3.591 b=5.085 c=6.224 alpha=114.11 beta=106.77 gamma=90.00
Element x y z (fractional)
H  0.338  0.577  0.676
H  0.338  0.099  0.676
H  0.157  0.157  0.315
H  0.000  0.728  0.000
H  0.662  0.901  0.324
H  0.000  0.272  0.000
H  0.843  0.843  0.685
H  0.662  0.423  0.324
Er  0.168  0.668  0.337
Er  0.832  0.332  0.663
Ho  0.500  0.000  0.000

***

[7]
Compound: HoErH4
Source: Alexandria
Functional: PBE-GGA
Structure: optimized geometry

As for the total energy: -4.468 eV per atom.

Unit cell a=5.109 b=5.109 c=6.298 alpha=113.93 beta=113.93 gamma=90.00
Element x y z (fractional)
H  0.627  0.125  0.750
H  0.875  0.373  0.250
H  0.123  0.625  0.750
H  0.375  0.877  0.250
H  0.123  0.125  0.750
H  0.627  0.625  0.750
H  0.375  0.373  0.250
H  0.875  0.877  0.250
Ho  0.500  0.500  0.000
Ho  0.250  0.750  0.500
Er  0.750  0.250  0.500
Er  0.000  0.000  0.000

***

[8]
Compound: Ho2ErH
Source: Alexandria
Functional: PBE-GGA
Structure: optimized geometry

As for the energy above the most stable polymorph in this dataset: 0 meV per atom. As for the total energy: -4.456 eV per atom.

Unit cell a=3.570 b=3.570 c=8.633 alpha=78.07 beta=78.07 gamma=60.00
Element x y z (fractional)
H  0.000  0.000  0.000
Ho  0.279  0.279  0.163
Ho  0.721  0.721  0.837
Er  0.500  0.500  0.500